[1]
A relaxed structure of Rb2CoAsF6, computed with PBE+U.

The structure belongs to space group I4/mmm (No. 139); the cell edges are 6.121, 6.121 and 8.684 Å and the angles 90.00°, 90.00° and 90.00°. The inequivalent atoms are Rb at (0.000, 0.500, 0.250), Co at (0.000, 0.000, 0.000), As at (0.000, 0.000, 0.500), F at (0.000, 0.000, 0.260) and F at (0.241, 0.241, 0.500).

For the magnetization, the calculation gives 4.0 Bohr magnetons per cell. As for the uncorrected energy: -4.442 eV/atom. The calculation puts the density of states at the Fermi level at 0.00 states/eV/cell.

***

[2]
A relaxed structure of CoRe2AsF, computed with PBE+U.

The structure belongs to space group P4/mmm (No. 123); the cell edges are 4.694, 4.694 and 4.491 Å and the angles 90.00°, 90.00° and 90.00°. The inequivalent atoms are Co at (0.000, 0.000, 0.000), Re at (0.000, 0.500, 0.500), As at (0.000, 0.000, 0.500) and F at (0.500, 0.500, 0.000).

For the magnetization, the calculation gives 6.9 Bohr magnetons per cell. As for the uncorrected energy: -5.678 eV/atom. The calculation puts the density of states at the Fermi level at 4.56 states/eV/cell.

***

[3]
A relaxed structure of CoAsSe2F, computed with PBE+U.

The structure belongs to space group P4/mmm (No. 123); the cell edges are 4.617, 4.617 and 4.593 Å and the angles 90.00°, 90.00° and 90.00°. The inequivalent atoms are Co at (0.000, 0.000, 0.000), As at (0.000, 0.000, 0.500), Se at (0.000, 0.500, 0.000) and F at (0.500, 0.500, 0.500).

For the magnetization, the calculation gives 2.3 Bohr magnetons per cell. The energy relative to the lowest polymorph listed for this composition is 0 meV per atom. As for the uncorrected energy: -3.383 eV/atom. The calculation puts the density of states at the Fermi level at 5.32 states/eV/cell.

***

[4]
A relaxed structure of CoAs2SeF, computed with PBE+U.

The structure belongs to space group P4/mmm (No. 123); the cell edges are 4.575, 4.575 and 4.611 Å and the angles 90.00°, 90.00° and 90.00°. The inequivalent atoms are Co at (0.000, 0.000, 0.000), As at (0.000, 0.500, 0.000), Se at (0.000, 0.000, 0.500) and F at (0.500, 0.500, 0.500).

For the magnetization, the calculation gives 2.1 Bohr magnetons per cell. The energy relative to the lowest polymorph listed for this composition is 0 meV per atom. As for the uncorrected energy: -3.639 eV/atom. The calculation puts the density of states at the Fermi level at 4.01 states/eV/cell.

***

[5]
A relaxed structure of CoAs2SeF, computed with PBE+U.

The structure belongs to space group P4/mmm (No. 123); the cell edges are 4.252, 4.252 and 5.019 Å and the angles 90.00°, 90.00° and 90.00°. The inequivalent atoms are Co at (0.000, 0.000, 0.000), As at (0.000, 0.500, 0.500), Se at (0.500, 0.500, 0.000) and F at (0.500, 0.500, 0.500).

For the magnetization, the calculation gives 0.1 Bohr magnetons per cell. The energy relative to the lowest polymorph listed for this composition is 609 meV per atom. As for the uncorrected energy: -3.030 eV/atom. The calculation puts the density of states at the Fermi level at 6.17 states/eV/cell.

***

[6]
A relaxed structure of CoAsSe2F, computed with PBE+U.

The structure belongs to space group P4/mmm (No. 123); the cell edges are 5.027, 5.027 and 4.001 Å and the angles 90.00°, 90.00° and 90.00°. The inequivalent atoms are Co at (0.000, 0.000, 0.000), As at (0.500, 0.500, 0.000), Se at (0.000, 0.500, 0.500) and F at (0.500, 0.500, 0.500).

For the magnetization, the calculation gives 3.1 Bohr magnetons per cell. The energy relative to the lowest polymorph listed for this composition is 216 meV per atom. As for the uncorrected energy: -3.167 eV/atom. The calculation puts the density of states at the Fermi level at 3.30 states/eV/cell.

***

> Among the records above, which one has the lowest magnetization?

number 5

***

> uncorrected energy of number 1 (Rb2CoAsF6)?

-4.442 eV/atom

***

> What is the formula in the first record?

Rb2CoAsF6